A plane-wave DFT calculation with GGA+U was carried out for a geometry-optimized Tl3VZn2F9 structure.

Calculated volume   226.1 Å³/cell
Uncorrected energy   -4.451 eV per atom
D(E_F)   0.0 states/eV per cell

Cell: 5.974 5.974 7.317 Å, 90.00 90.00 120.00°
Atoms (fractional coordinates):
Tl1 0.000 0.000 0.000
Tl2 0.333 0.667 0.668
Tl3 0.667 0.333 0.332
V1 0.000 0.000 0.500
Zn1 0.333 0.667 0.164
Zn2 0.667 0.333 0.836
F1 0.000 0.500 0.000
F2 0.169 0.338 0.330
F3 0.169 0.831 0.330
F4 0.338 0.169 0.670
F5 0.500 0.000 0.000
F6 0.500 0.500 0.000
F7 0.662 0.831 0.330
F8 0.831 0.169 0.670
F9 0.831 0.662 0.670